# 1
Here is BaLiTe2 after structural relaxation from Alexandria via LeMat-Bulk. Energies are from PBE.

Structure (extended XYZ):
```
4
Lattice="4.260 0.027 0.000 -0.037 4.260 0.000 0.000 0.000 7.206" Properties=species:S:1:pos:R:3 pbc="T T T"
Te 0.000 0.000 3.754
Te 0.000 0.000 7.055
Li 2.112 2.143 5.405
Ba 2.112 2.143 1.802
```

Output
For the total magnetization, the calculation gives 0.0 μB/f.u. As for the crystal system: orthorhombic. The calculation puts the formation energy without anion corrections at -0.983 eV per atom.

---

# 2
Here is Ba2LiTe after structural relaxation from Alexandria via LeMat-Bulk. Energies are from PBE.

Structure (extended XYZ):
```
4
Lattice="4.397 0.000 0.000 0.000 4.397 0.000 0.000 0.000 8.349" Properties=species:S:1:pos:R:3 pbc="T T T"
Li 2.199 2.199 4.175
Ba 0.000 0.000 1.960
Ba 0.000 0.000 6.389
Te 2.199 2.199 0.000
```

Output
For the total magnetization, the calculation gives 0.0 μB/f.u. As for the crystal system: tetragonal. The calculation puts the formation energy without anion corrections at -0.771 eV per atom.